A relaxed NaCoS2O8 crystal, computed with PBE with a Hubbard U.

a b c (Å): 4.8544 4.8544 7.6340
angles (deg): 90.00 90.00 120.00
Space group P-3 (No. 147)
Unique sites:
Na: 0.0000 0.0000 0.0000 (multiplicity 1)
Co: 0.0000 0.0000 0.5000 (multiplicity 1)
S: 0.3333 0.6667 0.7270 (multiplicity 2)
O: 0.0675 0.3576 0.6601 (multiplicity 6)
O: 0.3333 0.6667 0.9183 (multiplicity 2)

Summary:
Density of states at the Fermi level in states/eV/f.u.: 4.8
E in Ry per atom: -0.431
Size of the total moment in μB/cell: 4.09